This record from Alexandria describes a relaxed structure of Na4Y3PuO8. The functional is PBE.

Output
**Uncorrected formation energy**: -2.664 eV per atom
**Energy**: -7.580 eV/atom
**Density of states at the Fermi level**: 0.3299 states/eV/atom

abc: 6.912 6.879 6.912
angles: 120.17 120.00 90.00
Atoms (fractional coordinates):
Na1 0.500 0.000 0.000
Na2 0.500 0.000 0.500
Na3 0.000 0.000 0.000
Na4 0.000 0.000 0.500
Y1 0.500 0.500 0.000
Y2 0.500 0.500 0.500
Y3 0.000 0.500 0.500
Pu1 0.000 0.500 0.000
O1 0.240 0.713 0.974
O2 0.240 0.713 0.480
O3 0.263 0.288 0.525
O4 0.734 0.713 0.974
O5 0.266 0.287 0.026
O6 0.737 0.712 0.475
O7 0.760 0.287 0.520
O8 0.760 0.287 0.026



This record from Alexandria describes a relaxed structure of Na2Y2PuO6. The functional is PBE.

Output
**Uncorrected formation energy**: -2.791 eV per atom
**Energy**: -8.214 eV/atom
**Density of states at the Fermi level**: 0.1706 states/eV/atom

abc: 5.993 5.993 5.941
angles: 99.24 99.24 120.00
Atoms (fractional coordinates):
Na1 0.831 0.169 0.000
Na2 0.169 0.831 0.000
Y1 0.335 0.665 0.500
Y2 0.665 0.335 0.500
Pu1 0.000 0.000 0.500
O1 0.750 0.750 0.697
O2 0.052 0.390 0.699
O3 0.250 0.250 0.303
O4 0.390 0.052 0.699
O5 0.948 0.610 0.301
O6 0.610 0.948 0.301



This record from Alexandria describes a relaxed structure of Na2YPuO4. The functional is PBE.

Output
**Uncorrected formation energy**: -2.565 eV per atom
**Energy**: -7.974 eV/atom
**Density of states at the Fermi level**: 0.6403 states/eV/atom

abc: 3.481 6.023 5.956
angles: 109.79 90.00 90.00
Atoms (fractional coordinates):
Na1 0.500 0.000 0.500
Na2 0.000 0.500 0.500
Y1 0.500 0.500 0.000
Pu1 0.000 0.000 0.000
O1 0.500 0.241 0.214
O2 0.500 0.759 0.786
O3 0.000 0.267 0.786
O4 0.000 0.733 0.214



This record from Alexandria describes a relaxed structure of Na3Y2PuO6. The functional is PBE.

Output
**Uncorrected formation energy**: -2.624 eV per atom
**Energy**: -7.705 eV/atom
**Density of states at the Fermi level**: 0.5622 states/eV/atom

abc: 6.005 6.005 5.949
angles: 99.68 99.68 120.00
Atoms (fractional coordinates):
Na1 0.169 0.831 0.500
Na2 0.831 0.169 0.500
Na3 0.500 0.500 0.500
Y1 0.333 0.667 0.000
Y2 0.667 0.333 0.000
Pu1 0.000 0.000 0.000
O1 0.929 0.590 0.787
O2 0.732 0.732 0.214
O3 0.071 0.410 0.213
O4 0.590 0.929 0.787
O5 0.268 0.268 0.786
O6 0.410 0.071 0.213



This record from Alexandria describes a relaxed structure of NaYPu2O8. The functional is PBE.

Output
**Uncorrected formation energy**: -2.217 eV per atom
**Energy**: -8.560 eV/atom
**Density of states at the Fermi level**: 1.2701 states/eV/atom

abc: 6.376 6.376 6.376
angles: 108.77 108.77 110.88
Atoms (fractional coordinates):
Na1 0.000 0.000 0.000
Y1 0.250 0.750 0.500
Pu1 0.750 0.250 0.500
Pu2 0.500 0.500 0.000
O1 0.375 0.045 0.331
O2 0.315 0.511 0.195
O3 0.315 0.120 0.805
O4 0.714 0.045 0.669
O5 0.880 0.685 0.195
O6 0.955 0.286 0.331
O7 0.955 0.625 0.669
O8 0.489 0.685 0.805



This record from Alexandria describes a relaxed structure of NaY2PuO6. The functional is PBE.

Output
**Uncorrected formation energy**: -2.971 eV per atom
**Energy**: -8.803 eV/atom
**Density of states at the Fermi level**: 1.0586 states/eV/atom

abc: 5.837 5.837 6.133
angles: 61.59 61.59 60.00
Atoms (fractional coordinates):
Na1 0.799 0.799 0.604
Y1 0.527 0.527 0.418
Y2 0.017 0.017 0.950
Pu1 0.319 0.319 0.043
O1 0.598 0.234 0.234
O2 0.234 0.935 0.234
O3 0.935 0.598 0.234
O4 0.385 0.698 0.767
O5 0.698 0.150 0.767
O6 0.150 0.385 0.767



This record from Alexandria describes a relaxed structure of NaPuZnO5. The functional is PBE.

Output
**Uncorrected formation energy**: -1.988 eV per atom
**Energy**: -7.203 eV/atom
**Density of states at the Fermi level**: 0.0191 states/eV/atom

abc: 5.903 5.903 8.009
angles: 105.42 105.42 106.38
Atoms (fractional coordinates):
Na1 0.328 0.672 0.250
Na2 0.672 0.328 0.750
Pu1 0.000 0.000 0.500
Pu2 0.000 0.000 0.000
Zn1 0.695 0.305 0.250
Zn2 0.305 0.695 0.750
O1 0.073 0.927 0.250
O2 0.927 0.073 0.750
O3 0.913 0.294 0.105
O4 0.087 0.706 0.895
O5 0.706 0.087 0.395
O6 0.294 0.913 0.605
O7 0.764 0.649 0.413
O8 0.236 0.351 0.587
O9 0.351 0.236 0.087
O10 0.649 0.764 0.913



This record from Alexandria describes a relaxed structure of Na2PuZnO6. The functional is PBE.

Output
**Uncorrected formation energy**: -1.820 eV per atom
**Energy**: -6.619 eV/atom
**Density of states at the Fermi level**: 0.4785 states/eV/atom

abc: 5.587 5.673 7.939
angles: 90.00 90.35 90.00
Atoms (fractional coordinates):
Na1 0.009 0.963 0.248
Na2 0.509 0.537 0.748
Na3 0.991 0.037 0.752
Na4 0.491 0.463 0.252
Pu1 0.500 0.000 0.000
Pu2 0.000 0.500 0.500
Zn1 0.500 0.000 0.500
Zn2 0.000 0.500 0.000
O1 0.302 0.718 0.045
O2 0.802 0.782 0.545
O3 0.698 0.282 0.955
O4 0.198 0.218 0.455
O5 0.284 0.702 0.458
O6 0.784 0.798 0.958
O7 0.716 0.298 0.542
O8 0.216 0.202 0.042
O9 0.916 0.524 0.257
O10 0.416 0.976 0.757
O11 0.084 0.476 0.743
O12 0.584 0.024 0.243



This record from Alexandria describes a relaxed structure of Na3PuZn2O6. The functional is PBE.

Output
**Uncorrected formation energy**: -1.879 eV per atom
**Energy**: -6.094 eV/atom
**Density of states at the Fermi level**: 0.7808 states/eV/atom

abc: 5.560 5.560 5.789
angles: 98.33 98.33 121.18
Atoms (fractional coordinates):
Na1 0.177 0.823 0.500
Na2 0.823 0.177 0.500
Na3 0.500 0.500 0.500
Pu1 0.000 0.000 0.000
Zn1 0.331 0.669 0.000
Zn2 0.669 0.331 0.000
O1 0.924 0.596 0.788
O2 0.750 0.750 0.218
O3 0.076 0.404 0.212
O4 0.596 0.924 0.788
O5 0.250 0.250 0.782
O6 0.404 0.076 0.212



This record from Alexandria describes a relaxed structure of Na3PuZn3O8. The functional is PBE.

Output
**Uncorrected formation energy**: -1.728 eV per atom
**Energy**: -5.846 eV/atom

abc: 6.365 6.365 6.668
angles: 118.52 90.00 120.00
Atoms (fractional coordinates):
Na1 0.000 0.000 0.000
Na2 0.000 0.500 0.000
Na3 0.500 0.500 0.000
Pu1 0.000 0.000 0.500
Zn1 0.500 0.000 0.500
Zn2 0.500 0.500 0.500
Zn3 0.000 0.500 0.500
O1 0.278 0.556 0.333
O2 0.722 0.444 0.667
O3 0.780 0.561 0.289
O4 0.220 0.439 0.711
O5 0.780 0.009 0.289
O6 0.220 0.991 0.711
O7 0.229 0.009 0.289
O8 0.771 0.991 0.711



This record from Alexandria describes a relaxed structure of Na2PuZnO4. The functional is PBE.

Output
**Uncorrected formation energy**: -2.025 eV per atom
**Energy**: -6.784 eV/atom
**Density of states at the Fermi level**: 0.5156 states/eV/atom

abc: 3.385 5.509 5.866
angles: 108.06 90.00 90.00
Atoms (fractional coordinates):
Na1 0.500 0.000 0.500
Na2 0.000 0.500 0.500
Pu1 0.500 0.500 0.000
Zn1 0.000 0.000 0.000
O1 0.500 0.237 0.210
O2 0.500 0.763 0.790
O3 0.000 0.263 0.782
O4 0.000 0.737 0.218



This record from Alexandria describes a relaxed structure of NaPuZrO6. The functional is PBE.

Output
**Uncorrected formation energy**: -2.518 eV per atom
**Energy**: -8.512 eV/atom

abc: 5.034 5.034 9.886
angles: 90.00 90.00 90.00
Atoms (fractional coordinates):
Na1 0.500 0.500 0.500
Na2 0.000 0.000 0.000
Pu1 0.500 0.500 0.832
Pu2 0.000 0.000 0.332
Zr1 0.500 0.500 0.168
Zr2 0.000 0.000 0.668
O1 0.176 0.824 0.493
O2 0.824 0.176 0.493
O3 0.324 0.324 0.993
O4 0.676 0.676 0.993
O5 0.204 0.796 0.189
O6 0.796 0.204 0.189
O7 0.296 0.296 0.689
O8 0.704 0.704 0.689
O9 0.782 0.218 0.818
O10 0.218 0.782 0.818
O11 0.718 0.718 0.318
O12 0.282 0.282 0.318



This record from Alexandria describes a relaxed structure of NaPuZr2O8. The functional is PBE.

Output
**Uncorrected formation energy**: -2.683 eV per atom
**Energy**: -8.718 eV/atom

abc: 5.000 4.998 6.631
angles: 90.00 90.00 89.35
Atoms (fractional coordinates):
Na1 0.000 0.000 0.500
Pu1 0.000 0.000 0.000
Zr1 0.500 0.500 0.737
Zr2 0.500 0.500 0.263
O1 0.198 0.802 0.212
O2 0.703 0.702 0.000
O3 0.802 0.198 0.212
O4 0.802 0.198 0.788
O5 0.297 0.298 0.000
O6 0.198 0.802 0.788
O7 0.681 0.681 0.500
O8 0.319 0.319 0.500



This record from Alexandria describes a relaxed structure of Rb7NaO3. The functional is PBE.

Output
**Uncorrected formation energy**: -0.777 eV per atom
**Energy**: -2.865 eV/atom
**Density of states at the Fermi level**: 0.3201 states/eV/atom

abc: 7.897 8.257 8.257
angles: 120.00 90.00 90.00
Atoms (fractional coordinates):
Rb1 0.970 0.178 0.822
Rb2 0.970 0.178 0.356
Rb3 0.956 0.667 0.333
Rb4 0.584 0.821 0.179
Rb5 0.584 0.358 0.179
Rb6 0.584 0.821 0.642
Rb7 0.970 0.644 0.822
Na1 0.669 0.333 0.667
O1 0.775 0.493 0.507
O2 0.775 0.493 0.987
O3 0.775 0.013 0.507



This record from Alexandria describes a relaxed structure of RbNaO3. The functional is PBE.

Output
**Uncorrected formation energy**: -0.788 eV per atom
**Energy**: -4.220 eV/atom
**Density of states at the Fermi level**: 0.0000 states/eV/atom

abc: 6.954 6.609 7.253
angles: 90.00 90.00 90.00
Atoms (fractional coordinates):
Rb1 0.750 0.037 0.543
Rb2 0.250 0.537 0.957
Rb3 0.250 0.963 0.457
Rb4 0.750 0.463 0.043
Na1 0.000 0.000 0.000
Na2 0.000 0.500 0.500
Na3 0.500 0.000 0.000
Na4 0.500 0.500 0.500
O1 0.929 0.767 0.250
O2 0.071 0.267 0.250
O3 0.429 0.233 0.750
O4 0.571 0.733 0.750
O5 0.071 0.233 0.750
O6 0.929 0.733 0.750
O7 0.571 0.767 0.250
O8 0.429 0.267 0.250
O9 0.750 0.879 0.202
O10 0.250 0.379 0.298
O11 0.250 0.121 0.798
O12 0.750 0.621 0.702



This record from Alexandria describes a relaxed structure of Rb14NaO. The functional is PBE.

Output
**Uncorrected formation energy**: -0.158 eV per atom
**Energy**: -1.397 eV/atom
**Density of states at the Fermi level**: 0.7754 states/eV/atom

abc: 10.021 10.021 13.055
angles: 90.00 90.00 100.49
Atoms (fractional coordinates):
Rb1 0.115 0.885 0.000
Rb2 0.558 0.442 0.000
Rb3 0.054 0.327 0.500
Rb4 0.061 0.381 0.000
Rb5 0.673 0.946 0.500
Rb6 0.619 0.939 0.000
Rb7 0.411 0.190 0.707
Rb8 0.411 0.190 0.293
Rb9 0.810 0.589 0.707
Rb10 0.810 0.589 0.293
Rb11 0.320 0.680 0.710
Rb12 0.320 0.680 0.290
Rb13 0.917 0.083 0.711
Rb14 0.917 0.083 0.289
Na1 0.074 0.926 0.500
O1 0.930 0.070 0.500



This record from Alexandria describes a relaxed structure of Rb2NaO2. The functional is PBE.

Output
**Uncorrected formation energy**: -0.171 eV per atom
**Energy**: -2.805 eV/atom
**Density of states at the Fermi level**: 3.2286 states/eV/atom

abc: 6.565 6.565 13.705
angles: 90.00 90.00 90.00
Atoms (fractional coordinates):
Rb1 0.500 0.500 0.673
Rb2 0.500 0.500 0.327
Na1 0.500 0.500 0.000
O1 0.500 0.500 0.157
O2 0.500 0.500 0.843



This record from Alexandria describes a relaxed structure of RbNaO3. The functional is PBE.

Output
**Uncorrected formation energy**: -0.063 eV per atom
**Energy**: -3.495 eV/atom
**Density of states at the Fermi level**: 1.1443 states/eV/atom

abc: 4.348 4.348 4.348
angles: 90.00 90.00 90.00
Atoms (fractional coordinates):
Na1 0.000 0.000 0.000
O1 0.000 0.500 0.000
O2 0.000 0.000 0.500
O3 0.500 0.000 0.000
Rb1 0.500 0.500 0.500



This record from Alexandria describes a relaxed structure of RbNaO3. The functional is PBE.

Output
**Uncorrected formation energy**: 0.548 eV per atom
**Energy**: -2.884 eV/atom
**Density of states at the Fermi level**: 0.8744 states/eV/atom

abc: 4.421 4.421 4.421
angles: 90.00 90.00 90.00
Atoms (fractional coordinates):
Na1 0.500 0.500 0.500
O1 0.000 0.500 0.000
O2 0.000 0.000 0.500
O3 0.500 0.000 0.000
Rb1 0.000 0.000 0.000



This record from Alexandria describes a relaxed structure of RbNaO2. The functional is PBE.

Output
**Uncorrected formation energy**: -0.602 eV per atom
**Energy**: -3.652 eV/atom
**Density of states at the Fermi level**: 0.0000 states/eV/atom

abc: 4.403 4.403 8.115
angles: 74.26 74.26 90.00
Atoms (fractional coordinates):
Na1 0.500 0.500 0.000
Na2 0.250 0.750 0.500
O1 0.426 0.125 0.250
O2 0.324 0.625 0.250
O3 0.375 0.574 0.750
O4 0.875 0.676 0.750
Rb1 0.000 0.000 0.000
Rb2 0.750 0.250 0.500